(1)
Density functional theory data (PBE) for crystalline YBeRh2 at its relaxed geometry.

The calculation puts the calculated density at 8.0 g cm⁻³. The calculated formation energy comes out at -0.477 eV per atom. The total magnetic moment comes out at 0.0 μB/f.u.

It has space group P4/mmm (No. 123), with a = 4.227 Å, b = 4.227 Å, c = 3.513 Å, α = 90.00°, β = 90.00° and γ = 90.00°. The distinct sites, in fractional coordinates, are Y at (0.000, 0.000, 0.000), Be at (0.500, 0.500, 0.000) and Rh at (0.000, 0.500, 0.500).

---

(2)
Density functional theory data (PBE) for crystalline YBe17Rh at its relaxed geometry.

The calculation puts the calculated density at 3.2 g cm⁻³. The calculated formation energy comes out at -0.128 eV per atom. The total magnetic moment comes out at 0.0 μB/f.u.

It has space group R3m (No. 160, hexagonal axes), with a = 7.5204 Å, b = 7.5204 Å, c = 10.8589 Å, α = 90.00°, β = 90.00° and γ = 120.00°. The distinct sites, in fractional coordinates, are Y at (0.0000, 0.0000, 0.0000), Be at (0.0000, 0.0000, 0.5552), Be at (0.0000, 0.0000, 0.7496), Be at (0.0457, 0.3707, 0.3220), Be at (0.1717, 0.3434, 0.8359), Be at (0.1721, 0.3441, 0.4914), Be at (0.1768, 0.3536, 0.1386) and Rh at (0.0000, 0.0000, 0.3296).

---

(3)
Density functional theory data (PBE) for crystalline YBeRh at its relaxed geometry.

The energy above the most stable polymorph in this dataset comes out at 0.1708 eV/atom. The calculation puts the calculated density at 6.7 g cm⁻³. The calculated formation energy comes out at -0.444 eV per atom. The total magnetic moment comes out at 0.0 μB/f.u.

It has space group I4mm (No. 107), with a = 3.166 Å, b = 3.166 Å, c = 9.902 Å, α = 90.00°, β = 90.00° and γ = 90.00°. The distinct sites, in fractional coordinates, are Y at (0.000, 0.000, 0.000), Be at (0.000, 0.000, 0.706) and Rh at (0.000, 0.000, 0.291).

---

(4)
Density functional theory data (PBE) for crystalline YBe2Rh at its relaxed geometry.

The energy above the most stable polymorph in this dataset comes out at 0.0491 eV/atom. The calculation puts the calculated density at 5.4 g cm⁻³. The calculated formation energy comes out at -0.420 eV per atom. The total magnetic moment comes out at 0.0 μB/f.u.

It has space group Cm (No. 8), with a = 6.726 Å, b = 3.886 Å, c = 5.396 Å, α = 90.00°, β = 114.39° and γ = 90.00°. The distinct sites, in fractional coordinates, are Y at (0.000, 0.000, 0.000), Be at (0.191, 0.000, 0.572), Be at (0.498, 0.000, 0.492) and Rh at (0.304, 0.500, 0.411).

---

(5)
Density functional theory data (PBE) for crystalline YBe2Rh at its relaxed geometry.

The energy above the most stable polymorph in this dataset comes out at 0.2719 eV/atom. The calculation puts the calculated density at 6.0 g cm⁻³. The calculated formation energy comes out at -0.197 eV per atom. The total magnetic moment comes out at 0.0 μB/f.u.

It has space group Fm-3m (No. 225), with a = 6.131 Å, b = 6.131 Å, c = 6.131 Å, α = 90.00°, β = 90.00° and γ = 90.00°. The distinct sites, in fractional coordinates, are Y at (0.000, 0.000, 0.000), Be at (0.250, 0.250, 0.250) and Rh at (0.000, 0.000, 0.500).

---

(6)
Density functional theory data (PBE) for crystalline YBeRh2 at its relaxed geometry.

The calculation puts the calculated density at 7.8 g cm⁻³. The calculated formation energy comes out at -0.157 eV per atom. The total magnetic moment comes out at 0.0 μB/f.u.

It has space group C2/m (No. 12), with a = 5.762 Å, b = 8.343 Å, c = 2.981 Å, α = 90.00°, β = 115.73° and γ = 90.00°. The distinct sites, in fractional coordinates, are Y at (0.000, 0.000, 0.000), Be at (0.000, 0.500, 0.000) and Rh at (0.250, 0.250, 0.500).

---

What did the fourth record say?
Density functional theory data (PBE) for crystalline YBe2Rh at its relaxed geometry.

The energy above the most stable polymorph in this dataset comes out at 0.0491 eV/atom. The calculation puts the calculated density at 5.4 g cm⁻³. The calculated formation energy comes out at -0.420 eV per atom. The total magnetic moment comes out at 0.0 μB/f.u.

It has space group Cm (No. 8), with a = 6.726 Å, b = 3.886 Å, c = 5.396 Å, α = 90.00°, β = 114.39° and γ = 90.00°. The distinct sites, in fractional coordinates, are Y at (0.000, 0.000, 0.000), Be at (0.191, 0.000, 0.572), Be at (0.498, 0.000, 0.492) and Rh at (0.304, 0.500, 0.411).